Here is AsPWO2 at its PBEsol-relaxed geometry from the Alexandria database. Energies are from SCAN.

Formation energy from raw total energies, eV per atom: 0.38
Total DFT energy (no corrections), eV/atom: -22.1641
Magnetization, μB/f.u.: 2.960

Unit cell a=3.647 b=3.647 c=5.142 alpha=90.00 beta=90.00 gamma=90.00
Space group P4/mmm (No. 123)
Asymmetric unit:
As1 0.000 0.000 0.000 (multiplicity 1)
P1 0.000 0.000 0.500 (multiplicity 1)
W1 0.500 0.500 0.500 (multiplicity 1)
O1 0.000 0.500 0.000 (multiplicity 2)